The following is a DFT calculation (PBE) of crystalline YZn2Ni6 at its relaxed geometry.

It has space group Fd-3m (No. 227, origin choice 2), with a = 10.511 Å, b = 10.511 Å, c = 10.511 Å, α = 90.00°, β = 90.00° and γ = 90.00°. The asymmetric unit holds Y at (0.125, 0.125, 0.125), Zn at (0.000, 0.000, 0.500) and Ni at (0.117, 0.375, 0.375).

The total energy is -4.48 eV/atom. The energy of formation from the pure elements is 0.3757 eV/atom. The total magnetic moment is 0.00 Bohr magnetons per cell.